A plane-wave DFT calculation with PBE was carried out for a relaxed K3AlCu crystal.

Computed properties:
The density of states at the Fermi level is 3.691 states/eV per cell. As for the energy of formation from the pure elements: 0.55 eV per atom.

Geometry as CIF:
```
data_K3AlCu
_chemical_formula_sum 'K3 Al1 Cu1'
_symmetry_space_group_name_H-M 'P m -3 m'
_symmetry_Int_Tables_number 221
_symmetry_space_group_name_Hall '-P 4 2 3'
_cell_length_a 6.1783
_cell_length_b 6.1783
_cell_length_c 6.1783
_cell_angle_alpha 90.00
_cell_angle_beta 90.00
_cell_angle_gamma 90.00
loop_
_atom_site_label
_atom_site_fract_x
_atom_site_fract_y
_atom_site_fract_z
K1 0.0000 0.0000 0.5000
Al1 0.5000 0.5000 0.5000
Cu1 0.0000 0.0000 0.0000
```